# ZrCd22 | Alexandria via LeMat-Bulk | SCAN | single point on PBEsol structure
# - symmetry = Fd-3m, No. 227
# - magnetization (μB/cell) = 0.0
# - total energy (eV/atom) = -30.4261
data_ZrCd22
_chemical_formula_sum 'Zr2 Cd44'
_cell_length_a 11.063
_cell_length_b 11.063
_cell_length_c 11.063
_cell_angle_alpha 60.00
_cell_angle_beta 60.00
_cell_angle_gamma 60.00
_symmetry_space_group_name_H-M 'P 1'
_symmetry_Int_Tables_number 1
loop_
_symmetry_equiv_pos_as_xyz
'x,y,z'
loop_
_atom_site_label
_atom_site_fract_x
_atom_site_fract_y
_atom_site_fract_z
Cd1 0.625 0.125 0.625
Cd2 0.442 0.183 0.933
Cd3 0.933 0.442 0.183
Cd4 0.125 0.625 0.125
Cd5 0.442 0.933 0.442
Cd6 0.442 0.442 0.183
Cd7 0.183 0.933 0.442
Cd8 0.892 0.608 0.892
Cd9 0.933 0.183 0.442
Cd10 0.625 0.625 0.625
Cd11 0.892 0.892 0.608
Cd12 0.608 0.608 0.892
Cd13 0.642 0.358 0.358
Cd14 0.642 0.642 0.358
Cd15 0.808 0.067 0.317
Cd16 0.642 0.358 0.642
Cd17 0.125 0.625 0.625
Cd18 0.067 0.317 0.808
Cd19 0.183 0.442 0.933
Cd20 0.625 0.125 0.125
Cd21 0.442 0.442 0.933
Cd22 0.808 0.808 0.067
Cd23 0.358 0.358 0.642
Cd24 0.317 0.808 0.067
Cd25 0.125 0.125 0.625
Cd26 0.608 0.892 0.608
Cd27 0.442 0.183 0.442
Cd28 0.808 0.067 0.808
Cd29 0.808 0.808 0.317
Cd30 0.067 0.808 0.317
Cd31 0.892 0.608 0.608
Cd32 0.358 0.642 0.642
Cd33 0.625 0.625 0.125
Cd34 0.125 0.125 0.125
Cd35 0.608 0.892 0.892
Cd36 0.183 0.442 0.442
Cd37 0.933 0.442 0.442
Cd38 0.442 0.933 0.183
Cd39 0.808 0.317 0.067
Cd40 0.067 0.808 0.808
Cd41 0.358 0.642 0.358
Cd42 0.317 0.808 0.808
Cd43 0.808 0.317 0.808
Cd44 0.317 0.067 0.808
Zr1 0.000 0.000 0.000
Zr2 0.250 0.250 0.250